Entry 1:
Sm3Sb2Pd7: optimized geometry, PBE-GGA.

extended XYZ file:
```
12
Lattice="-2.088 2.088 14.326 2.088 -2.088 14.326 2.088 2.088 -14.326" Properties=species:S:1:pos:R:3 pbc="T T T"
Sm 0.000 0.000 0.000
Sm 0.000 0.000 5.042
Sm 0.000 0.000 23.611
Sb 0.000 0.000 10.596
Sb 0.000 0.000 18.057
Pd 2.088 0.000 2.111
Pd 0.000 0.000 7.881
Pd 2.088 0.000 12.215
Pd 0.000 0.000 14.326
Pd 0.000 2.088 2.111
Pd 0.000 0.000 20.771
Pd 0.000 2.088 12.215
```

Values from the calculation:
DOS(E_F) = 0.673 states/eV/atom
E_form (uncorrected) = -0.745 eV per atom
space group = I4/mmm (139)
DFT total energy = -5.64 eV/atom



Entry 2:
Sm3Sb4Pd7: optimized geometry, PBE-GGA.

extended XYZ file:
```
14
Lattice="8.265 -2.221 0.000 8.265 2.221 0.000 -5.911 0.000 7.962" Properties=species:S:1:pos:R:3 pbc="T T T"
Sm 0.000 0.000 0.000
Sm 3.396 0.000 2.679
Sm 7.223 0.000 5.283
Sb -3.071 0.000 6.646
Sb 1.269 0.000 5.730
Sb 9.350 0.000 2.232
Sb 13.690 0.000 1.316
Pd -2.956 0.000 3.981
Pd -0.072 0.000 3.265
Pd -0.580 0.000 7.678
Pd 4.016 0.000 5.615
Pd 6.603 0.000 2.347
Pd 11.199 0.000 0.285
Pd 10.691 0.000 4.697
```

Values from the calculation:
DOS(E_F) = 0.523 states/eV/atom
E_form (uncorrected) = -0.864 eV per atom
space group = C2/m (12)
DFT total energy = -5.65 eV/atom



Entry 3:
SmSb3Pd5: optimized geometry, PBE-GGA.

extended XYZ file:
```
18
Lattice="2.272 -7.425 0.000 2.272 7.425 0.000 0.000 0.000 11.014" Properties=species:S:1:pos:R:3 pbc="T T T"
Sm 2.272 3.803 8.261
Sm 2.272 -3.803 2.754
Sb 2.272 5.422 0.983
Sb 2.272 5.422 4.524
Sb 2.272 1.304 2.754
Sb 2.272 -1.304 8.261
Sb 2.272 -5.422 6.490
Sb 2.272 -5.422 10.031
Pd 2.272 6.677 6.875
Pd 2.272 6.677 9.646
Pd 2.272 2.789 0.304
Pd 2.272 2.789 5.203
Pd 2.272 0.000 0.000
Pd 2.272 0.000 5.507
Pd 2.272 -2.789 5.811
Pd 2.272 -2.789 10.710
Pd 2.272 -6.677 1.368
Pd 2.272 -6.677 4.139
```

Values from the calculation:
DOS(E_F) = 0.440 states/eV/atom
E_form (uncorrected) = -0.600 eV per atom
space group = Cmcm (63)
DFT total energy = -5.38 eV/atom



Entry 4:
Sm4SbPd: optimized geometry, PBE-GGA.

extended XYZ file:
```
12
Lattice="2.779 -10.309 0.000 2.779 10.309 0.000 0.000 0.000 6.400" Properties=species:S:1:pos:R:3 pbc="T T T"
Sm 2.779 9.221 4.800
Sm 2.779 6.088 3.218
Sm 2.779 6.088 6.382
Sm 2.779 2.286 4.800
Sm 2.779 -2.286 1.600
Sm 2.779 -6.088 0.018
Sm 2.779 -6.088 3.182
Sm 2.779 -9.221 1.600
Sb 2.779 3.109 1.600
Sb 2.779 -3.109 4.800
Pd 2.779 8.618 1.600
Pd 2.779 -8.618 4.800
```

Values from the calculation:
DOS(E_F) = 1.008 states/eV/atom
E_form (uncorrected) = -0.513 eV per atom
space group = Cmcm (63)
DFT total energy = -5.21 eV/atom



Entry 5:
SmSb2Pd7: optimized geometry, PBE-GGA.

extended XYZ file:
```
10
Lattice="3.745 -6.494 0.000 3.745 6.494 0.000 0.000 0.000 4.612" Properties=species:S:1:pos:R:3 pbc="T T T"
Sm 0.000 0.000 0.000
Sb 3.745 2.570 2.306
Sb 3.745 -2.570 2.306
Pd 1.356 1.460 2.306
Pd 3.745 3.711 0.000
Pd 1.356 -1.460 2.306
Pd 3.745 0.000 2.306
Pd 6.134 1.460 2.306
Pd 3.745 -3.711 0.000
Pd 6.134 -1.460 2.306
```

Values from the calculation:
DOS(E_F) = 0.396 states/eV/atom
E_form (uncorrected) = -0.305 eV per atom
space group = Cmmm (65)
DFT total energy = -5.24 eV/atom
energy relative to the lowest polymorph listed for this composition = 256.5 meV/atom



Entry 6:
SmSbPd5: optimized geometry, PBE-GGA.

extended XYZ file:
```
7
Lattice="4.227 0.000 0.000 0.000 4.227 0.000 0.000 0.000 7.375" Properties=species:S:1:pos:R:3 pbc="T T T"
Sm 0.000 0.000 0.000
Sb 2.114 2.114 3.687
Pd 0.000 2.114 2.066
Pd 0.000 2.114 5.309
Pd 2.114 0.000 2.066
Pd 2.114 0.000 5.309
Pd 2.114 2.114 0.000
```

Values from the calculation:
DOS(E_F) = 0.426 states/eV/atom
E_form (uncorrected) = -0.654 eV per atom
space group = P4/mmm (123)
DFT total energy = -5.63 eV/atom



Entry 7:
Sm2Sb7Pd12: optimized geometry, PBE-GGA.

extended XYZ file:
```
21
Lattice="10.570 0.000 0.000 -5.285 9.154 0.000 0.000 0.000 4.316" Properties=species:S:1:pos:R:3 pbc="T T T"
Sm 0.000 6.103 1.035
Sm 5.285 3.051 3.281
Sb 0.000 0.000 2.158
Sb -2.527 6.468 3.163
Sb 0.948 3.732 3.163
Sb 3.706 1.045 1.153
Sb 1.579 8.109 3.163
Sb 4.338 5.422 1.153
Sb 7.812 2.687 1.153
Pd -1.687 3.992 3.270
Pd -0.096 2.356 0.949
Pd -3.197 8.060 0.949
Pd 1.992 1.261 3.367
Pd -0.985 8.620 3.270
Pd 2.613 3.457 1.045
Pd 2.672 5.697 3.270
Pd 6.270 0.535 1.045
Pd 3.293 7.893 0.949
Pd 8.482 1.095 3.367
Pd 5.381 6.798 3.367
Pd 6.972 5.163 1.045
```

Values from the calculation:
DOS(E_F) = 0.430 states/eV/atom
E_form (uncorrected) = -0.616 eV per atom
space group = P-3 (147)
DFT total energy = -5.41 eV/atom



Entry 8:
SmSb2Pd5: optimized geometry, PBE-GGA.

extended XYZ file:
```
16
Lattice="4.075 0.000 0.000 0.000 7.225 0.000 0.000 0.000 10.851" Properties=species:S:1:pos:R:3 pbc="T T T"
Sm 0.000 0.000 0.000
Sm 2.037 3.612 5.426
Sb 0.000 3.612 2.633
Sb 0.000 3.612 8.219
Sb 2.037 0.000 2.793
Sb 2.037 0.000 8.058
Pd 0.000 1.440 4.022
Pd 0.000 1.440 6.829
Pd 0.000 3.612 0.000
Pd 0.000 5.785 4.022
Pd 0.000 5.785 6.829
Pd 2.037 0.000 5.426
Pd 2.037 2.172 1.403
Pd 2.037 2.172 9.448
Pd 2.037 5.052 1.403
Pd 2.037 5.052 9.448
```

Values from the calculation:
DOS(E_F) = 0.566 states/eV/atom
E_form (uncorrected) = -0.575 eV per atom
space group = Immm (71)
DFT total energy = -5.44 eV/atom



Entry 9:
Sm8Sb2Pd3: optimized geometry, PBE-GGA.

extended XYZ file:
```
13
Lattice="8.015 -4.072 0.000 8.015 4.072 0.000 -1.955 0.000 6.780" Properties=species:S:1:pos:R:3 pbc="T T T"
Sm 0.779 0.000 2.461
Sm 6.083 2.050 0.656
Sm 7.992 2.050 6.124
Sm 5.221 0.000 4.021
Sm 8.855 0.000 2.759
Sm 6.083 -2.050 0.656
Sm 7.992 -2.050 6.124
Sm 13.297 0.000 4.319
Sb 3.661 0.000 1.135
Sb 10.415 0.000 5.645
Pd 7.038 2.081 3.390
Pd 8.015 0.000 0.000
Pd 7.038 -2.081 3.390
```

Values from the calculation:
DOS(E_F) = 0.821 states/eV/atom
E_form (uncorrected) = -0.531 eV per atom
space group = C2/m (12)
DFT total energy = -5.27 eV/atom



Entry 10:
Sm3Sb4Pd3: optimized geometry, PBE-GGA.

extended XYZ file:
```
20
Lattice="-4.946 4.946 4.946 4.946 -4.946 4.946 4.946 4.946 -4.946" Properties=species:S:1:pos:R:3 pbc="T T T"
Sm 7.420 1.237 0.000
Sm 3.710 0.000 2.473
Sm 2.473 3.710 0.000
Sm 0.000 2.473 3.710
Sm 1.237 0.000 7.420
Sm 0.000 7.420 1.237
Sb 4.154 0.792 -0.792
Sb 6.627 -1.681 1.681
Sb 0.792 0.792 0.792
Sb 0.792 -0.792 4.154
Sb -0.792 4.154 0.792
Sb 1.681 6.627 -1.681
Sb 3.265 3.265 3.265
Sb -1.681 1.681 6.627
Pd 4.946 -2.473 3.710
Pd 3.710 4.946 -2.473
Pd 4.946 2.473 1.237
Pd 2.473 1.237 4.946
Pd 1.237 4.946 2.473
Pd -2.473 3.710 4.946
```

Values from the calculation:
DOS(E_F) = 0.780 states/eV/atom
E_form (uncorrected) = -0.957 eV per atom
space group = I-43d (220)
DFT total energy = -5.58 eV/atom



Entry 11:
SmSb4Pd12: optimized geometry, PBE-GGA.

extended XYZ file:
```
17
Lattice="-4.463 4.463 4.463 4.463 -4.463 4.463 4.463 4.463 -4.463" Properties=species:S:1:pos:R:3 pbc="T T T"
Sm 0.000 0.000 0.000
Sb 2.231 2.231 -2.231
Sb 2.231 -2.231 2.231
Sb -2.231 2.231 2.231
Sb 2.231 2.231 2.231
Pd 3.114 1.360 0.000
Pd 5.811 1.360 0.000
Pd 4.463 -1.348 3.102
Pd 3.102 4.463 -1.348
Pd 1.360 0.000 3.114
Pd 4.463 1.348 3.102
Pd 0.000 3.114 1.360
Pd 3.102 4.463 1.348
Pd 1.360 0.000 5.811
Pd 0.000 5.811 1.360
Pd -1.348 3.102 4.463
Pd 1.348 3.102 4.463
```

Values from the calculation:
DOS(E_F) = 0.222 states/eV/atom
E_form (uncorrected) = -0.161 eV per atom
space group = Im-3 (204)
DFT total energy = -5.07 eV/atom



Entry 12:
SmSbPd2: optimized geometry, PBE-GGA.

extended XYZ file:
```
4
Lattice="4.526 0.000 0.000 0.000 4.526 0.000 0.000 0.000 4.066" Properties=species:S:1:pos:R:3 pbc="T T T"
Sm 0.000 0.000 0.000
Sb 2.263 2.263 0.000
Pd 0.000 2.263 2.033
Pd 2.263 0.000 2.033
```

Values from the calculation:
DOS(E_F) = 0.503 states/eV/atom
E_form (uncorrected) = -0.717 eV per atom
space group = P4/mmm (123)
DFT total energy = -5.52 eV/atom



Entry 13:
SmSb4Pd15: optimized geometry, PBE-GGA.

extended XYZ file:
```
20
Lattice="4.099 0.000 0.000 0.000 4.099 0.000 0.000 0.000 20.191" Properties=species:S:1:pos:R:3 pbc="T T T"
Sm 0.000 0.000 0.000
Sb 0.000 0.000 4.073
Sb 0.000 0.000 8.091
Sb 0.000 0.000 12.100
Sb 0.000 0.000 16.118
Pd 0.000 2.050 2.144
Pd 0.000 2.050 6.110
Pd 0.000 2.050 10.095
Pd 0.000 2.050 14.081
Pd 0.000 2.050 18.047
Pd 2.050 0.000 2.144
Pd 2.050 0.000 6.110
Pd 2.050 0.000 10.095
Pd 2.050 0.000 14.081
Pd 2.050 0.000 18.047
Pd 2.050 2.050 0.000
Pd 2.050 2.050 4.159
Pd 2.050 2.050 8.104
Pd 2.050 2.050 12.087
Pd 2.050 2.050 16.032
```

Values from the calculation:
DOS(E_F) = 0.476 states/eV/atom
E_form (uncorrected) = -0.456 eV per atom
space group = P4/mmm (123)
DFT total energy = -5.41 eV/atom



Entry 14:
SmSn2Sb2Pd7: optimized geometry, PBE-GGA.

extended XYZ file:
```
12
Lattice="2.860 -2.877 0.000 2.860 2.877 0.000 -1.037 0.000 15.449" Properties=species:S:1:pos:R:3 pbc="T T T"
Sm 0.000 0.000 0.000
Sn 0.349 0.000 6.403
Sn 4.334 0.000 9.045
Sb 1.812 0.000 11.572
Sb 2.872 0.000 3.877
Pd 1.434 1.437 2.182
Pd 1.553 0.000 8.935
Pd 3.249 1.437 13.267
Pd 2.860 0.000 0.000
Pd 1.434 -1.437 2.182
Pd 3.131 0.000 6.514
Pd 3.249 -1.437 13.267
```

Values from the calculation:
DOS(E_F) = 0.377 states/eV/atom
E_form (uncorrected) = -0.472 eV per atom
space group = C2/m (12)
DFT total energy = -5.25 eV/atom



Entry 15:
Sr2SmSb4Pd3: optimized geometry, PBE-GGA.

extended XYZ file:
```
10
Lattice="4.635 0.000 0.000 0.000 4.635 0.000 0.000 0.000 12.250" Properties=species:S:1:pos:R:3 pbc="T T T"
Sr 0.000 2.317 2.839
Sr 2.317 0.000 9.410
Sm 0.000 0.000 6.125
Sb 0.000 0.000 0.000
Sb 0.000 2.317 8.051
Sb 2.317 0.000 4.199
Sb 2.317 2.317 0.000
Pd 0.000 2.317 10.764
Pd 2.317 0.000 1.486
Pd 2.317 2.317 6.125
```

Values from the calculation:
DOS(E_F) = 0.395 states/eV/atom
E_form (uncorrected) = -0.826 eV per atom
space group = P-4m2 (115)
DFT total energy = -4.84 eV/atom



Entry 16:
Sn2SbPd: optimized geometry, PBE-GGA.

extended XYZ file:
```
12
Lattice="3.334 0.000 0.000 -1.667 2.888 0.000 0.000 0.000 30.738" Properties=species:S:1:pos:R:3 pbc="T T T"
Sn 0.000 0.000 3.096
Sn 0.000 0.000 27.642
Sn 0.000 1.925 17.396
Sn 0.000 1.925 23.588
Sn 1.667 0.963 7.150
Sn 1.667 0.963 13.342
Sb 0.000 0.000 0.000
Sb 0.000 1.925 20.492
Sb 1.667 0.963 10.246
Pd 0.000 0.000 15.369
Pd 0.000 1.925 5.123
Pd 1.667 0.963 25.615
```

Values from the calculation:
DOS(E_F) = 0.393 states/eV/atom
E_form (uncorrected) = -0.125 eV per atom
space group = R-3m (166)
DFT total energy = -4.46 eV/atom



Entry 17:
SnSb3Pd12: optimized geometry, PBE-GGA.

extended XYZ file:
```
16
Lattice="4.061 0.000 0.000 0.000 4.061 0.000 0.000 0.000 16.140" Properties=species:S:1:pos:R:3 pbc="T T T"
Sn 0.000 0.000 0.000
Sb 0.000 0.000 4.017
Sb 0.000 0.000 8.070
Sb 0.000 0.000 12.123
Pd 0.000 2.030 2.011
Pd 0.000 2.030 6.049
Pd 0.000 2.030 10.091
Pd 0.000 2.030 14.129
Pd 2.030 0.000 2.011
Pd 2.030 0.000 6.049
Pd 2.030 0.000 10.091
Pd 2.030 0.000 14.129
Pd 2.030 2.030 0.000
Pd 2.030 2.030 4.038
Pd 2.030 2.030 8.070
Pd 2.030 2.030 12.102
```

Values from the calculation:
DOS(E_F) = 0.569 states/eV/atom
E_form (uncorrected) = -0.399 eV per atom
space group = P4/mmm (123)
DFT total energy = -5.32 eV/atom



Entry 18:
SnSbPd2: optimized geometry, PBE-GGA.

extended XYZ file:
```
12
Lattice="3.318 0.000 0.000 -1.659 2.873 0.000 0.000 0.000 24.969" Properties=species:S:1:pos:R:3 pbc="T T T"
Sn 0.000 0.000 0.000
Sn 0.000 1.915 16.646
Sn 1.659 0.958 8.323
Sb 0.000 0.000 12.485
Sb 0.000 1.915 4.162
Sb 1.659 0.958 20.808
Pd 0.000 0.000 6.245
Pd 0.000 0.000 18.725
Pd 0.000 1.915 10.402
Pd 0.000 1.915 22.891
Pd 1.659 0.958 2.079
Pd 1.659 0.958 14.568
```

Values from the calculation:
DOS(E_F) = 0.539 states/eV/atom
E_form (uncorrected) = -0.308 eV per atom
space group = R-3m (166)
DFT total energy = -4.94 eV/atom
energy relative to the lowest polymorph listed for this composition = 172.8 meV/atom



Entry 19:
Sn3SbPd4: optimized geometry, PBE-GGA.

extended XYZ file:
```
16
Lattice="5.225 0.000 0.000 0.000 6.791 0.000 0.000 0.000 9.643" Properties=species:S:1:pos:R:3 pbc="T T T"
Sn 1.306 0.021 1.797
Sn 1.306 3.374 1.797
Sn 1.306 5.093 6.616
Sn 3.919 1.698 3.027
Sn 3.919 3.416 7.846
Sn 3.919 6.770 7.846
Sb 1.306 1.698 6.640
Sb 3.919 5.093 3.004
Pd 1.306 0.029 8.766
Pd 1.306 1.698 3.979
Pd 1.306 3.367 8.766
Pd 1.306 5.093 3.934
Pd 3.919 1.698 5.709
Pd 3.919 3.424 0.877
Pd 3.919 5.093 5.664
Pd 3.919 6.762 0.877
```

Values from the calculation:
DOS(E_F) = 0.297 states/eV/atom
E_form (uncorrected) = -0.344 eV per atom
space group = Pmmn (59)
DFT total energy = -4.96 eV/atom



Entry 20:
Sn3SbPd3: optimized geometry, PBE-GGA.

extended XYZ file:
```
14
Lattice="4.079 2.355 5.514 -4.079 2.355 5.514 0.000 -4.710 5.514" Properties=species:S:1:pos:R:3 pbc="T T T"
Sn -2.866 0.405 7.269
Sn -1.784 -2.280 9.274
Sn 1.082 -2.684 7.269
Sn -1.082 2.684 9.274
Sn 1.784 2.280 7.269
Sn 2.866 -0.405 9.274
Sb 0.000 0.000 5.544
Sb 0.000 0.000 10.999
Pd -1.532 -2.165 6.547
Pd -2.641 0.245 9.996
Pd -1.109 2.410 6.547
Pd 1.109 -2.410 9.996
Pd 2.641 -0.245 6.547
Pd 1.532 2.165 9.996
```

Values from the calculation:
DOS(E_F) = 0.481 states/eV/atom
E_form (uncorrected) = -0.318 eV per atom
space group = R-3 (148)
DFT total energy = -4.85 eV/atom
energy relative to the lowest polymorph listed for this composition = 11.2 meV/atom